Entry w
# BaY2Sc2 (PBE, relaxed)
# ρ   4.05 g cm⁻³
# Space-group type   P4/mbm
data_BaY2Sc2
_chemical_formula_sum 'Ba2 Y4 Sc4'
_cell_length_a 9.6098
_cell_length_b 9.6098
_cell_length_c 3.5970
_cell_angle_alpha 90.00
_cell_angle_beta 90.00
_cell_angle_gamma 90.00
_space_group_name_H-M_alt 'P 1'
_space_group_IT_number 1
loop_
_space_group_symop_operation_xyz
'x,y,z'
loop_
_atom_site_label
_atom_site_type_symbol
_atom_site_fract_x
_atom_site_fract_y
_atom_site_fract_z
Y1 Y 0.1720 0.6720 0.5000
Y2 Y 0.6720 0.8280 0.5000
Y3 Y 0.8280 0.3280 0.5000
Y4 Y 0.3280 0.1720 0.5000
Sc1 Sc 0.3848 0.8848 0.0000
Sc2 Sc 0.8848 0.6152 0.0000
Sc3 Sc 0.6152 0.1152 0.0000
Sc4 Sc 0.1152 0.3848 0.0000
Ba1 Ba 0.0000 0.0000 0.0000
Ba2 Ba 0.5000 0.5000 0.0000


Entry x
# BaY2Sc2 (PBE, relaxed)
# ρ   4.05 g cm⁻³
# Space-group type   P4/mbm
data_BaY2Sc2
_chemical_formula_sum 'Ba2 Y4 Sc4'
_cell_length_a 9.5269
_cell_length_b 9.5269
_cell_length_c 3.6581
_cell_angle_alpha 90.00
_cell_angle_beta 90.00
_cell_angle_gamma 90.00
_space_group_name_H-M_alt 'P 1'
_space_group_IT_number 1
loop_
_space_group_symop_operation_xyz
'x,y,z'
loop_
_atom_site_label
_atom_site_type_symbol
_atom_site_fract_x
_atom_site_fract_y
_atom_site_fract_z
Y1 Y 0.3751 0.8751 0.0000
Y2 Y 0.8751 0.6249 0.0000
Y3 Y 0.6249 0.1249 0.0000
Y4 Y 0.1249 0.3751 0.0000
Sc1 Sc 0.1659 0.6659 0.5000
Sc2 Sc 0.6659 0.8341 0.5000
Sc3 Sc 0.8341 0.3341 0.5000
Sc4 Sc 0.3341 0.1659 0.5000
Ba1 Ba 0.0000 0.0000 0.0000
Ba2 Ba 0.5000 0.5000 0.0000


Least stable of them? entry w.